P:
Density functional theory data (PBE) for a geometry-optimized TeRhI2Cl structure.

Unit cell a=5.4936 b=5.4936 c=5.0674 alpha=90.00 beta=90.00 gamma=90.00
Space group P4/mmm (No. 123)
Inequivalent atoms, fractional coordinates:
Te1 0.0000 0.0000 0.0000 [1 per cell]
Rh1 0.0000 0.0000 0.5000 [1 per cell]
I1 0.0000 0.5000 0.5000 [2 per cell]
Cl1 0.5000 0.5000 0.0000 [1 per cell]

**DOS(E_F)**: 7.40 states/eV/f.u.


Q:
Density functional theory data (PBE) for a geometry-optimized TeRhI2Cl structure.

Unit cell a=5.5693 b=5.5693 c=5.5085 alpha=90.00 beta=90.00 gamma=90.00
Space group P4/mmm (No. 123)
Inequivalent atoms, fractional coordinates:
Te1 0.0000 0.0000 0.0000 [1 per cell]
Rh1 0.5000 0.5000 0.0000 [1 per cell]
I1 0.0000 0.5000 0.5000 [2 per cell]
Cl1 0.0000 0.0000 0.5000 [1 per cell]

**DOS(E_F)**: 9.53 states/eV/f.u.


Stability check: which of them is most stable? P.


P:
Density functional theory data (PBE) for a geometry-optimized Ru3ICl structure.

Unit cell a=4.9460 b=4.9460 c=4.9460 alpha=90.00 beta=90.00 gamma=90.00
Space group Pm-3m (No. 221)
Inequivalent atoms, fractional coordinates:
Ru1 0.0000 0.0000 0.5000 [3 per cell]
I1 0.0000 0.0000 0.0000 [1 per cell]
Cl1 0.5000 0.5000 0.5000 [1 per cell]

**DOS(E_F)**: 4.68 states/eV/f.u.


Q:
Density functional theory data (PBE) for a geometry-optimized Ru3ICl structure.

Unit cell a=4.5094 b=4.5094 c=4.5094 alpha=90.00 beta=90.00 gamma=90.00
Space group Pm-3m (No. 221)
Inequivalent atoms, fractional coordinates:
Ru1 0.0000 0.0000 0.5000 [3 per cell]
I1 0.5000 0.5000 0.5000 [1 per cell]
Cl1 0.0000 0.0000 0.0000 [1 per cell]

**DOS(E_F)**: 6.74 states/eV/f.u.


Stability check: which of them is most stable? Q.


P:
Density functional theory data (PBE) for a geometry-optimized RuI3Cl structure.

Unit cell a=6.6410 b=8.0496 c=6.6630 alpha=90.00 beta=98.15 gamma=90.00
Space group P2_1/m (No. 11)
Inequivalent atoms, fractional coordinates:
Ru1 0.0069 0.2500 0.0068 [2 per cell]
I1 0.1833 0.0000 0.8182 [4 per cell]
I2 0.3072 0.2500 0.3076 [2 per cell]
Cl1 0.2604 0.7500 0.2604 [2 per cell]

**DOS(E_F)**: 1.54 states/eV/f.u.


Q:
Density functional theory data (PBE) for a geometry-optimized RuI3Cl structure.

Unit cell a=5.7153 b=5.7153 c=5.7153 alpha=90.00 beta=90.00 gamma=90.00
Space group Pm-3m (No. 221)
Inequivalent atoms, fractional coordinates:
Ru1 0.0000 0.0000 0.0000 [1 per cell]
I1 0.0000 0.5000 0.5000 [3 per cell]
Cl1 0.5000 0.5000 0.5000 [1 per cell]

**DOS(E_F)**: 5.99 states/eV/f.u.


Stability check: which of them is most stable? P.


P:
Density functional theory data (PBE) for a geometry-optimized Ru2ICl structure.

Unit cell a=4.7290 b=4.7290 c=14.9429 alpha=90.00 beta=90.00 gamma=90.00
Space group I-42d (No. 122)
Inequivalent atoms, fractional coordinates:
Ru1 0.1367 0.2500 0.1250 [8 per cell]
I1 0.0000 0.0000 0.5000 [4 per cell]
Cl1 0.0000 0.0000 0.0000 [4 per cell]

**DOS(E_F)**: 1.95 states/eV/f.u.


Q:
Density functional theory data (PBE) for a geometry-optimized Ru2ICl structure.

Unit cell a=6.4974 b=6.4974 c=6.4974 alpha=90.00 beta=90.00 gamma=90.00
Space group Fm-3m (No. 225)
Inequivalent atoms, fractional coordinates:
Ru1 0.2500 0.2500 0.2500 [8 per cell]
I1 0.0000 0.0000 0.0000 [4 per cell]
Cl1 0.0000 0.0000 0.5000 [4 per cell]

**DOS(E_F)**: 4.23 states/eV/f.u.


Stability check: which of them is most stable? P.